# PBE NaSr3Re, relaxed
# Energy of formation from the pure elements (eV/atom): 1.53
# Magnetic moment (μB/f.u.): 3.3
# DFT total energy (eV per atom): -2.231
data_NaSr3Re
_chemical_formula_sum 'Na1 Sr3 Re1'
_symmetry_space_group_name_H-M 'P m -3 m'
_symmetry_Int_Tables_number 221
_symmetry_space_group_name_Hall '-P 4 2 3'
_cell_length_a 6.113
_cell_length_b 6.113
_cell_length_c 6.113
_cell_angle_alpha 90.00
_cell_angle_beta 90.00
_cell_angle_gamma 90.00
loop_
_atom_site_label
_atom_site_fract_x
_atom_site_fract_y
_atom_site_fract_z
Na1 0.000 0.000 0.000
Sr1 0.000 0.000 0.500
Re1 0.500 0.500 0.500